1.
Entry from Alexandria via LeMat-Bulk: a geometry-optimized CdHg2P structure (PBE-GGA).

## Properties
crystal system	orthorhombic
space-group type	No. 71
relative energy among the computed polymorphs	146	meV/atom

```
CdHg2P
1.0
-1.827 1.988 6.584
1.827 -1.988 6.584
1.827 1.988 -6.584
Cd Hg P
1 2 1
direct
0.000 0.000 0.000
0.308 0.808 0.500
0.692 0.192 0.500
0.500 0.500 0.000
```


2.
Entry from Alexandria via LeMat-Bulk: a geometry-optimized TbPm4Nd2Th structure (PBE-GGA).

## Properties
crystal system	monoclinic
total energy	-4.94	eV/atom
space-group type	No. 10

```
TbPm4Nd2Th
1.0
6.083 0.000 0.000
0.000 6.090 0.000
-0.014 0.000 7.329
Tb Pm Nd Th
1 4 2 1
direct
0.000 0.000 0.000
0.000 0.500 0.254
0.000 0.500 0.746
0.500 0.000 0.254
0.500 0.000 0.746
0.000 0.000 0.500
0.500 0.500 0.000
0.500 0.500 0.500
```


3.
Entry from Alexandria via LeMat-Bulk: a geometry-optimized Si4Sb structure (PBE-GGA).

## Properties
crystal system	cubic
space-group type	No. 229
energy relative to the elements, uncorrected	1.143	eV/atom
relative energy among the computed polymorphs	642	meV/atom

```
Si4Sb
1.0
-3.092 3.092 3.092
3.092 -3.092 3.092
3.092 3.092 -3.092
Si Sb
4 1
direct
0.000 0.000 0.500
0.000 0.500 0.000
0.500 0.000 0.000
0.500 0.500 0.500
0.000 0.000 0.000
```


4.
Entry from Alexandria via LeMat-Bulk: a geometry-optimized TlSnTe2F structure (PBE-GGA).

## Properties
crystal system	tetragonal
space-group type	No. 123
energy relative to the elements, uncorrected	-0.667	eV/atom

```
TlSnTe2F
1.0
5.855 0.000 0.000
0.000 5.855 0.000
0.000 0.000 4.436
Tl Sn Te F
1 1 2 1
direct
0.000 0.000 0.000
0.500 0.500 0.500
0.000 0.500 0.500
0.500 0.000 0.500
0.500 0.500 0.000
```


5.
Entry from Alexandria via LeMat-Bulk: a geometry-optimized HfMnTc2 structure (PBE-GGA).

## Properties
crystal system	tetragonal
space-group type	No. 123
relative energy among the computed polymorphs	1	meV/atom

```
HfMnTc2
1.0
4.401 0.000 0.000
0.000 4.401 0.000
0.000 0.000 3.212
Hf Mn Tc
1 1 2
direct
0.000 0.000 0.000
0.500 0.500 0.000
0.000 0.500 0.500
0.500 0.000 0.500
```


6.
Entry from Alexandria via LeMat-Bulk: a geometry-optimized CdIrBr6 structure (PBE-GGA).

## Properties
crystal system	monoclinic
space-group type	No. 12
energy relative to the elements, uncorrected	-0.401	eV/atom

```
CdIrBr6
1.0
4.195 -5.522 0.000
4.195 5.522 0.000
-2.229 0.000 6.552
Cd Ir Br
1 1 6
direct
0.000 0.000 0.000
0.000 0.000 0.500
0.033 0.717 0.234
0.254 0.254 0.387
0.283 0.967 0.766
0.717 0.033 0.234
0.746 0.746 0.613
0.967 0.283 0.766
```


7.
Entry from Alexandria via LeMat-Bulk: a geometry-optimized Tl2CrSe structure (PBE-GGA).

## Properties
crystal system	monoclinic
space-group type	No. 6
energy relative to the elements, uncorrected	0.057	eV/atom
relative energy among the computed polymorphs	73	meV/atom

```
Tl2CrSe
1.0
4.576 0.000 0.000
0.000 3.687 0.000
-2.271 0.000 6.125
Tl Cr Se
2 1 1
direct
0.000 0.000 0.000
0.321 0.500 0.644
0.747 0.000 0.494
0.611 0.500 0.223
```


8.
Entry from Alexandria via LeMat-Bulk: a geometry-optimized Rb3TmCu2Cl9 structure (PBE-GGA).

## Properties
crystal system	trigonal
space-group type	No. 164
energy relative to the elements, uncorrected	-1.563	eV/atom

```
Rb3TmCu2Cl9
1.0
7.189 0.000 0.000
-3.595 6.226 0.000
0.000 0.000 8.884
Rb Tm Cu Cl
3 1 2 9
direct
0.000 0.000 0.000
0.333 0.667 0.679
0.667 0.333 0.321
0.000 0.000 0.500
0.333 0.667 0.137
0.667 0.333 0.863
0.000 0.500 0.000
0.170 0.340 0.331
0.170 0.830 0.331
0.340 0.170 0.669
0.500 0.000 0.000
0.500 0.500 0.000
0.660 0.830 0.331
0.830 0.170 0.669
0.830 0.660 0.669
```


9.
Entry from Alexandria via LeMat-Bulk: a geometry-optimized BaMgOs structure (PBE-GGA).

## Properties
crystal system	trigonal
space-group type	No. 156
relative energy among the computed polymorphs	296	meV/atom

```
BaMgOs
1.0
3.393 0.000 0.000
-1.696 2.938 0.000
0.000 0.000 7.704
Ba Mg Os
1 1 1
direct
0.000 0.000 0.000
0.667 0.333 0.453
0.333 0.667 0.695
```


10.
Entry from Alexandria via LeMat-Bulk: a geometry-optimized Ca2Nd2Tm structure (PBE-GGA).

## Properties
crystal system	trigonal
space-group type	No. 164
relative energy among the computed polymorphs	0	meV/atom

```
Ca2Nd2Tm
1.0
3.680 0.000 0.000
-1.840 3.187 0.000
0.000 0.000 15.452
Ca Nd Tm
2 2 1
direct
0.333 0.667 0.107
0.667 0.333 0.893
0.333 0.667 0.683
0.667 0.333 0.317
0.000 0.000 0.500
```


11.
Entry from Alexandria via LeMat-Bulk: a geometry-optimized NaYI2O structure (PBE-GGA).

## Properties
crystal system	tetragonal
space-group type	No. 123
energy relative to the elements, uncorrected	-0.477	eV/atom
relative energy among the computed polymorphs	1203	meV/atom

```
NaYI2O
1.0
5.589 0.000 0.000
0.000 5.589 0.000
0.000 0.000 4.181
Na Y I O
1 1 2 1
direct
0.000 0.000 0.000
0.500 0.500 0.500
0.000 0.500 0.000
0.500 0.000 0.000
0.000 0.000 0.500
```


12.
Entry from Alexandria via LeMat-Bulk: a geometry-optimized LiU4PaN8 structure (PBE-GGA).

## Properties
crystal system	trigonal
space-group type	No. 160
energy relative to the elements, uncorrected	-1.190	eV/atom

```
LiU4PaN8
1.0
3.487 2.013 5.103
-3.487 2.013 5.103
0.000 -4.026 5.103
Li U Pa N
1 4 1 8
direct
0.000 0.000 0.000
0.495 0.997 0.997
0.613 0.613 0.613
0.997 0.495 0.997
0.997 0.997 0.495
0.389 0.389 0.389
0.215 0.737 0.737
0.239 0.239 0.785
0.239 0.785 0.239
0.242 0.242 0.242
0.737 0.215 0.737
0.737 0.737 0.215
0.756 0.756 0.756
0.785 0.239 0.239
```